Record 1
DFT (GGA-PBE) results for NdAl2AgAu after structural relaxation. Values from VASP.

Values from the calculation:
DOS(E_F) ... 2.11 states/eV per cell
ΔH_f (0 K) ... -0.51 eV per atom

The structure in Quantum ESPRESSO input format:
```
&SYSTEM
  ibrav = 0, nat = 5, ntyp = 4
/
ATOMIC_SPECIES
Nd 144.24 Nd.upf
Al 26.98 Al.upf
Ag 107.87 Ag.upf
Au 196.97 Au.upf
ATOMIC_POSITIONS crystal
Nd 0.0000 0.0000 0.0000
Al 0.3790 0.3790 0.0000
Al 0.6210 0.6210 0.0000
Ag 0.2500 0.7500 0.5000
Au 0.7500 0.2500 0.5000
CELL_PARAMETERS angstrom
-2.2263 2.2263 5.2603
2.2263 -2.2263 5.2603
2.2263 2.2263 -5.2603
```


Record 2
DFT (GGA-PBE) results for Li3PF after structural relaxation. Values from VASP.

Values from the calculation:
DOS(E_F) ... 10.87 states/eV per cell
Raw formation energy ... -68.6 kJ per mole of atoms
Offset from the most stable computed form ... 680.2 meV per atom

The structure in Quantum ESPRESSO input format:
```
&SYSTEM
  ibrav = 0, nat = 5, ntyp = 3
/
ATOMIC_SPECIES
Li 6.94 Li.upf
P 30.97 P.upf
F 19.00 F.upf
ATOMIC_POSITIONS crystal
Li 0.0000 0.0000 0.5000
Li 0.0000 0.5000 0.0000
Li 0.5000 0.0000 0.0000
P 0.0000 0.0000 0.0000
F 0.5000 0.5000 0.5000
CELL_PARAMETERS angstrom
4.6849 0.0000 0.0000
0.0000 4.6849 0.0000
0.0000 0.0000 4.6849
```


Record 3
DFT (GGA-PBE) results for YTl2 after structural relaxation. Values from VASP.

Values from the calculation:
DOS(E_F) ... 3.64 states/eV per cell
ΔH_f (0 K) ... -0.16 eV per atom

The structure in Quantum ESPRESSO input format:
```
&SYSTEM
  ibrav = 0, nat = 6, ntyp = 2
/
ATOMIC_SPECIES
Y 88.91 Y.upf
Tl 204.38 Tl.upf
ATOMIC_POSITIONS crystal
Y 0.0000 0.0000 0.2500
Y 0.0000 0.0000 0.7500
Tl 0.3333 0.6667 0.0201
Tl 0.3333 0.6667 0.4799
Tl 0.6667 0.3333 0.5201
Tl 0.6667 0.3333 0.9799
CELL_PARAMETERS angstrom
5.2236 0.0000 0.0000
-2.6118 4.5238 0.0000
0.0000 0.0000 7.0689
```


Record 4
DFT (GGA-PBE) results for Zr7Cu6 after structural relaxation. Values from VASP.

Values from the calculation:
DOS(E_F) ... 11.27 states/eV per cell
ΔH_f (0 K) ... 0.44 eV per atom

The structure in Quantum ESPRESSO input format:
```
&SYSTEM
  ibrav = 0, nat = 13, ntyp = 2
/
ATOMIC_SPECIES
Zr 91.22 Zr.upf
Cu 63.55 Cu.upf
ATOMIC_POSITIONS crystal
Zr 0.0000 0.0000 0.0000
Zr 0.0860 0.0860 0.5754
Zr 0.0860 0.5754 0.0860
Zr 0.4246 0.9140 0.9140
Zr 0.5754 0.0860 0.0860
Zr 0.9140 0.4246 0.9140
Zr 0.9140 0.9140 0.4246
Cu 0.1659 0.1659 0.1659
Cu 0.3532 0.3532 0.3532
Cu 0.4533 0.4533 0.4533
Cu 0.5467 0.5467 0.5467
Cu 0.6468 0.6468 0.6468
Cu 0.8341 0.8341 0.8341
CELL_PARAMETERS angstrom
2.8813 1.6635 8.8169
-2.8813 1.6635 8.8169
0.0000 -3.3270 8.8169
```


Record 5
DFT (GGA-PBE) results for Fe2Si4Bi after structural relaxation. Values from VASP.

Values from the calculation:
DOS(E_F) ... 6.26 states/eV per cell
Raw formation energy ... 122.4 kJ per mole of atoms

The structure in Quantum ESPRESSO input format:
```
&SYSTEM
  ibrav = 0, nat = 7, ntyp = 3
/
ATOMIC_SPECIES
Fe 55.84 Fe.upf
Si 28.09 Si.upf
Bi 208.98 Bi.upf
ATOMIC_POSITIONS crystal
Fe 0.0892 0.0892 0.0000
Fe 0.9108 0.9108 0.0000
Si 0.0000 0.5000 0.5000
Si 0.2662 0.2662 0.0000
Si 0.5000 0.0000 0.5000
Si 0.7338 0.7338 0.0000
Bi 0.5000 0.5000 0.0000
CELL_PARAMETERS angstrom
-2.5877 2.5877 6.1679
2.5877 -2.5877 6.1679
2.5877 2.5877 -6.1679
```


Record 6
DFT (GGA-PBE) results for Sm3ErIr after structural relaxation. Values from VASP.

Values from the calculation:
DOS(E_F) ... 8.45 states/eV per cell
ΔH_f (0 K) ... -0.15 eV per atom

The structure in Quantum ESPRESSO input format:
```
&SYSTEM
  ibrav = 0, nat = 5, ntyp = 3
/
ATOMIC_SPECIES
Sm 150.36 Sm.upf
Er 167.26 Er.upf
Ir 192.22 Ir.upf
ATOMIC_POSITIONS crystal
Sm 0.0000 0.0000 0.5000
Sm 0.0000 0.5000 0.0000
Sm 0.5000 0.0000 0.0000
Er 0.5000 0.5000 0.5000
Ir 0.0000 0.0000 0.0000
CELL_PARAMETERS angstrom
5.5352 0.0000 0.0000
0.0000 5.5352 0.0000
0.0000 0.0000 5.5352
```


Record 7
DFT (GGA-PBE) results for RbCeGaSe4 after structural relaxation. Values from VASP.

Values from the calculation:
DOS(E_F) ... 10.05 states/eV per cell
Raw formation energy ... -117.2 kJ per mole of atoms

The structure in Quantum ESPRESSO input format:
```
&SYSTEM
  ibrav = 0, nat = 14, ntyp = 4
/
ATOMIC_SPECIES
Rb 85.47 Rb.upf
Ce 140.12 Ce.upf
Ga 69.72 Ga.upf
Se 78.96 Se.upf
ATOMIC_POSITIONS crystal
Rb 0.2489 0.2500 0.0548
Rb 0.7511 0.7500 0.9452
Ce 0.2338 0.2500 0.5541
Ce 0.7662 0.7500 0.4459
Ga 0.2263 0.7500 0.3336
Ga 0.7737 0.2500 0.6664
Se 0.0209 0.5147 0.7035
Se 0.0209 0.9853 0.7035
Se 0.4270 0.7500 0.1702
Se 0.4494 0.7500 0.5858
Se 0.5506 0.2500 0.4142
Se 0.5730 0.2500 0.8298
Se 0.9791 0.0147 0.2965
Se 0.9791 0.4853 0.2965
CELL_PARAMETERS angstrom
6.8118 0.0000 0.0000
0.0000 6.9013 0.0000
-3.0661 0.0000 9.0750
```


Record 8
DFT (GGA-PBE) results for Hf3TiPb after structural relaxation. Values from VASP.

Values from the calculation:
DOS(E_F) ... 7.35 states/eV per cell
ΔH_f (0 K) ... 0.83 eV per atom
Offset from the most stable computed form ... 789.6 meV per atom

The structure in Quantum ESPRESSO input format:
```
&SYSTEM
  ibrav = 0, nat = 5, ntyp = 3
/
ATOMIC_SPECIES
Hf 178.49 Hf.upf
Ti 47.87 Ti.upf
Pb 207.20 Pb.upf
ATOMIC_POSITIONS crystal
Hf 0.0000 0.0000 0.5000
Hf 0.0000 0.5000 0.0000
Hf 0.5000 0.0000 0.0000
Ti 0.0000 0.0000 0.0000
Pb 0.5000 0.5000 0.5000
CELL_PARAMETERS angstrom
4.9822 0.0000 0.0000
0.0000 4.9822 0.0000
0.0000 0.0000 4.9822
```